{
  "formula": "SiRh2W",
  "functional": "PBE-GGA",
  "state": "relaxed",
  "n_ef_per_ev_fu": 2.8,
  "e_form_raw_ev_per_fu": -1.236,
  "m_tot_mub_per_cell": 0.000,
  "lattice_angstrom": [[2.789, 0.000, 0.000], [0.000, 3.937, 0.000], [-1.129, 0.000, 5.197]],
  "species": ["Si", "Rh", "Rh", "W"],
  "frac_coords": [[0.000, 0.000, 0.000], [0.396, 0.500, 0.242], [0.604, 0.500, 0.758], [0.000, 0.000, 0.500]]
}


{
  "formula": "SiSbTe2Pt",
  "functional": "PBE-GGA",
  "state": "relaxed",
  "n_ef_per_ev_fu": 4.1,
  "e_above_lowest_polymorph_mev_per_atom": 234,
  "e_form_raw_ev_per_fu": 4.445,
  "m_tot_mub_per_cell": 0.000,
  "lattice_angstrom": [[5.102, 0.000, 0.000], [0.000, 5.102, 0.000], [0.000, 0.000, 5.141]],
  "species": ["Si", "Sb", "Te", "Te", "Pt"],
  "frac_coords": [[0.000, 0.000, 0.000], [0.000, 0.000, 0.500], [0.000, 0.500, 0.000], [0.500, 0.000, 0.000], [0.500, 0.500, 0.500]]
}


{
  "formula": "La5OsRh",
  "functional": "PBE-GGA",
  "state": "relaxed",
  "formation_energy_ev_per_atom": -0.30,
  "n_ef_per_ev_fu": 6.3,
  "m_tot_mub_per_cell": 0.000,
  "lattice_angstrom": [[7.484, 0.000, 0.000], [0.000, 4.130, 0.000], [-0.626, 0.000, 15.146]],
  "species": ["La", "La", "La", "La", "La", "La", "La", "La", "La", "La", "Os", "Os", "Rh", "Rh"],
  "frac_coords": [[0.081, 0.250, 0.221], [0.122, 0.250, 0.590], [0.217, 0.750, 0.999], [0.374, 0.750, 0.411], [0.395, 0.250, 0.794], [0.605, 0.750, 0.206], [0.626, 0.250, 0.589], [0.783, 0.250, 0.001], [0.878, 0.750, 0.410], [0.919, 0.750, 0.779], [0.085, 0.250, 0.877], [0.915, 0.750, 0.123], [0.369, 0.750, 0.620], [0.631, 0.250, 0.380]]
}